1.
ZnRhI2: optimized geometry, PBE-GGA.

Summary:
Excess energy over the best structure of this formula in the dataset, eV per atom: 0.384
Uncorrected energy, eV per atom: -2.36
Space group: Fm-3m, No. 225
DOS(E_F), states/eV per atom: 1.35
ρ, kg/m3: 7385
Raw formation energy, meV per atom: 576

The structure in POSCAR format:
```
ZnRhI2
1.0
0.000 3.620 3.620
3.620 0.000 3.620
3.620 3.620 0.000
I Rh Zn
2 1 1
Cartesian
1.810 1.810 1.810
5.431 5.431 5.431
3.620 3.620 3.620
0.000 0.000 0.000
```

=====

2.
Zn3RhI9: optimized geometry, PBE-GGA.

Summary:
Uncorrected energy, eV per atom: -2.30
Space group: Cc, No. 9
ρ, kg/m3: 4604
Raw formation energy, meV per atom: -370

The structure in POSCAR format:
```
Zn3RhI9
1.0
9.068 0.000 3.816
4.157 9.465 2.804
0.216 -0.284 12.171
I Zn Rh
18 6 2
Cartesian
4.188 2.308 13.452
5.145 2.110 9.259
7.562 7.183 9.359
8.259 3.674 11.405
1.813 0.571 8.530
4.010 1.381 5.685
4.386 5.971 12.411
6.179 8.549 5.017
11.240 9.090 14.840
9.891 6.985 5.743
6.550 4.500 6.299
8.035 0.804 3.622
11.188 8.832 10.245
3.673 5.446 3.800
10.087 3.957 15.294
9.907 3.086 6.977
8.408 7.676 12.914
3.047 5.394 8.091
9.700 5.303 13.001
8.942 0.713 6.115
6.165 2.070 11.726
7.414 6.945 6.739
4.196 8.595 12.701
3.936 4.005 6.024
4.348 -0.104 7.924
2.333 4.771 1.564
```